# LiMnPbO4

A relaxed LiMnPbO4 crystal (PBE+U, Alexandria via LeMat-Bulk).

The value obtained for the magnetic moment is 8.0 μB/cell. The calculation puts the volume at 13.01 A^3/atom. The raw total energy is -42.5 eV/f.u.

a = 5.9461 Å, b = 6.4500 Å, c = 6.4500 Å
α = 60.52°, β = 62.55°, γ = 62.55°
Sites, in units of the cell vectors:
1 Li 0.6314 0.6186 0.1186
2 Li 0.3686 0.3814 0.8814
3 Mn 0.5000 0.0000 0.5000
4 Mn 0.0000 0.0000 0.5000
5 Pb 0.0000 0.0000 0.0000
6 Pb 0.0000 0.5000 0.5000
7 O 0.7602 0.7852 0.6945
8 O 0.2398 0.8055 0.7148
9 O 0.7602 0.1945 0.2852
10 O 0.2398 0.2148 0.3055
11 O 0.2417 0.7535 0.2535
12 O 0.7512 0.7535 0.2535
13 O 0.2488 0.2465 0.7465
14 O 0.7583 0.2465 0.7465